[1]
Compound: FeRu2Se
Source: the Alexandria database
Functional: GGA-PBEsol
Structure: relaxed

Summary:
Space group: C2/m, No. 12

Unit cell a=2.8366 b=4.7188 c=4.3326 alpha=99.38 beta=109.11 gamma=90.00
Atoms (fractional coordinates):
Ru 0.7444 0.7396 0.4888
Ru 0.2556 0.2604 0.5112
Se 0.5000 0.0000 0.0000
Fe 0.0000 0.5000 0.0000

[2]
Compound: PrNb3O9
Source: the Alexandria database
Functional: GGA-PBEsol
Structure: relaxed

Summary:
Space group: P2_1/c, No. 14

Unit cell a=5.3898 b=7.6342 c=16.4881 alpha=90.00 beta=92.11 gamma=90.00
Atoms (fractional coordinates):
O 0.6811 0.4491 0.6898
O 0.3226 0.5545 0.8093
O 0.3226 0.9455 0.3093
O 0.1508 0.5622 0.6430
O 0.4407 0.2499 0.4051
O 0.8531 0.4442 0.8572
O 0.1469 0.9442 0.6428
O 0.3189 0.9491 0.8102
O 0.5593 0.7499 0.0949
O 0.3189 0.5509 0.3102
O 0.9015 0.7437 0.2596
O 0.6774 0.4455 0.1907
O 0.3477 0.2486 0.5800
O 0.6523 0.7514 0.4200
O 0.4407 0.2501 0.9051
O 0.1508 0.9378 0.1430
O 0.8531 0.0558 0.3572
O 0.6523 0.7486 0.9200
O 0.2634 0.5382 0.9826
O 0.7366 0.4618 0.0174
O 0.8492 0.4378 0.3570
O 0.3477 0.2514 0.0800
O 0.9015 0.7563 0.7596
O 0.8492 0.0622 0.8570
O 0.2634 0.9618 0.4826
O 0.6811 0.0509 0.1898
O 0.0985 0.2563 0.7404
O 0.5593 0.7501 0.5949
O 0.1469 0.5558 0.1428
O 0.7366 0.0382 0.5174
O 0.7362 0.4630 0.5171
O 0.2638 0.9630 0.9829
O 0.0985 0.2437 0.2404
O 0.6774 0.0545 0.6907
O 0.7362 0.0370 0.0171
O 0.2638 0.5370 0.4829
Nb 0.4774 0.4981 0.1000
Nb 0.9917 0.9731 0.2513
Nb 0.4774 0.0019 0.6000
Nb 0.4720 0.0142 0.0998
Nb 0.5226 0.9981 0.4000
Nb 0.5280 0.9858 0.9002
Nb 0.9917 0.5269 0.7513
Nb 0.4720 0.4858 0.5998
Nb 0.0083 0.4731 0.2487
Nb 0.5280 0.5142 0.4002
Nb 0.0083 0.0269 0.7487
Nb 0.5226 0.5019 0.9000
Pr 0.9665 0.7500 0.0325
Pr 0.0335 0.2500 0.4675
Pr 0.9665 0.7500 0.5325
Pr 0.0335 0.2500 0.9675

Asked for ρ across the records above, the calculation gives 10.4; 5.5 g/cm3 in order.
Asked for formation energy (no corrections) across the records above, the calculation gives 0.29; -2.77 eV/atom in order.